Record 1
! Nd2Ho12Th (PBE, optimized geometry); values from VASP
! - E: -4.617 eV/atom
! - Formation energy from the elements: 254 kJ/mol of formula units
! - Magnetization: 0.00 Bohr magnetons per cell
! - Symmetry: P2/m (10)
&SYSTEM
  ibrav = 0, nat = 15, ntyp = 3
/
ATOMIC_SPECIES
Nd 144.24 Nd.upf
Ho 164.93 Ho.upf
Th 232.04 Th.upf
CELL_PARAMETERS angstrom
3.4913 0.0000 0.0000
0.0000 5.6856 0.0000
-0.0252 0.0000 24.7279
ATOMIC_POSITIONS crystal
Nd 0.9998 0.0000 0.2321
Nd 0.0002 0.0000 0.7679
Ho 0.0007 0.5000 0.4236
Ho 0.0014 0.5000 0.9376
Ho 0.4992 0.0000 0.0858
Ho 0.4999 0.0000 0.3754
Ho 0.5001 0.0000 0.6246
Ho 0.4995 0.5000 0.1730
Ho 0.5000 0.5000 0.3017
Ho 0.5000 0.5000 0.6983
Ho 0.5005 0.5000 0.8270
Ho 0.5008 0.0000 0.9142
Ho 0.9986 0.5000 0.0624
Ho 0.9993 0.5000 0.5764
Th 0.0000 0.0000 0.5000


Record 2
! TlZnICl2 (PBE, optimized geometry); values from VASP
! - E: -2.580 eV/atom
! - Magnetization: 0.00 Bohr magnetons per cell
! - Energy relative to the elements, uncorrected: -0.8038 eV/atom
! - Symmetry: P4/mmm (123)
&SYSTEM
  ibrav = 0, nat = 5, ntyp = 4
/
ATOMIC_SPECIES
Tl 204.38 Tl.upf
Zn 65.41 Zn.upf
I 126.90 I.upf
Cl 35.45 Cl.upf
CELL_PARAMETERS angstrom
4.9783 0.0000 0.0000
0.0000 4.9783 0.0000
0.0000 0.0000 5.7456
ATOMIC_POSITIONS crystal
Tl 0.0000 0.0000 0.0000
Zn 0.5000 0.5000 0.5000
I 0.5000 0.5000 0.0000
Cl 0.0000 0.5000 0.5000
Cl 0.5000 0.0000 0.5000


Record 3
! Ce2PrSi2Pt7 (PBE, optimized geometry); values from VASP
! - E: -6.830 eV/atom
! - Magnetization: 1.61 Bohr magnetons per cell
! - Energy relative to the elements, uncorrected: -1.0151 eV/atom
! - Symmetry: C2/m (12)
&SYSTEM
  ibrav = 0, nat = 12, ntyp = 4
/
ATOMIC_SPECIES
Ce 140.12 Ce.upf
Pr 140.91 Pr.upf
Si 28.09 Si.upf
Pt 195.08 Pt.upf
CELL_PARAMETERS angstrom
2.9517 -2.8905 0.0000
2.9517 2.8905 0.0000
-1.9826 0.0000 13.7885
ATOMIC_POSITIONS crystal
Ce 0.1108 0.1108 0.3580
Ce 0.8892 0.8892 0.6420
Pr 0.0000 0.0000 0.0000
Si 0.4101 0.4101 0.7456
Si 0.5899 0.5899 0.2544
Pt 0.0596 0.5576 0.1654
Pt 0.3795 0.3795 0.5746
Pt 0.4424 0.9404 0.8346
Pt 0.5000 0.5000 0.0000
Pt 0.5576 0.0596 0.1654
Pt 0.6205 0.6205 0.4254
Pt 0.9404 0.4424 0.8346


Record 4
! Dy6YTh3 (PBE, optimized geometry); values from VASP
! - E: -5.531 eV/atom
! - Formation energy from the elements: 99 kJ/mol of formula units
! - Magnetization: 0.00 Bohr magnetons per cell
! - Symmetry: P2_1/m (11)
&SYSTEM
  ibrav = 0, nat = 20, ntyp = 3
/
ATOMIC_SPECIES
Dy 162.50 Dy.upf
Y 88.91 Y.upf
Th 232.04 Th.upf
CELL_PARAMETERS angstrom
13.1327 0.0000 0.0000
0.0000 3.4996 0.0000
-1.8882 0.0000 14.1012
ATOMIC_POSITIONS crystal
Dy 0.0621 0.2500 0.0984
Dy 0.1223 0.2500 0.4999
Dy 0.2245 0.2500 0.2976
Dy 0.2538 0.7500 0.7047
Dy 0.3727 0.7500 0.4794
Dy 0.4246 0.2500 0.8986
Dy 0.5754 0.7500 0.1014
Dy 0.6273 0.2500 0.5206
Dy 0.7462 0.2500 0.2953
Dy 0.7755 0.7500 0.7024
Dy 0.8777 0.7500 0.5001
Dy 0.9379 0.7500 0.9016
Y 0.3148 0.7500 0.1062
Y 0.6852 0.2500 0.8938
Th 0.0053 0.2500 0.7014
Th 0.1740 0.2500 0.8978
Th 0.4808 0.2500 0.2904
Th 0.5192 0.7500 0.7096
Th 0.8260 0.7500 0.1022
Th 0.9947 0.7500 0.2986


Please write out number 4 again, unchanged.
! Dy6YTh3 (PBE, optimized geometry); values from VASP
! - E: -5.531 eV/atom
! - Formation energy from the elements: 99 kJ/mol of formula units
! - Magnetization: 0.00 Bohr magnetons per cell
! - Symmetry: P2_1/m (11)
&SYSTEM
  ibrav = 0, nat = 20, ntyp = 3
/
ATOMIC_SPECIES
Dy 162.50 Dy.upf
Y 88.91 Y.upf
Th 232.04 Th.upf
CELL_PARAMETERS angstrom
13.1327 0.0000 0.0000
0.0000 3.4996 0.0000
-1.8882 0.0000 14.1012
ATOMIC_POSITIONS crystal
Dy 0.0621 0.2500 0.0984
Dy 0.1223 0.2500 0.4999
Dy 0.2245 0.2500 0.2976
Dy 0.2538 0.7500 0.7047
Dy 0.3727 0.7500 0.4794
Dy 0.4246 0.2500 0.8986
Dy 0.5754 0.7500 0.1014
Dy 0.6273 0.2500 0.5206
Dy 0.7462 0.2500 0.2953
Dy 0.7755 0.7500 0.7024
Dy 0.8777 0.7500 0.5001
Dy 0.9379 0.7500 0.9016
Y 0.3148 0.7500 0.1062
Y 0.6852 0.2500 0.8938
Th 0.0053 0.2500 0.7014
Th 0.1740 0.2500 0.8978
Th 0.4808 0.2500 0.2904
Th 0.5192 0.7500 0.7096
Th 0.8260 0.7500 0.1022
Th 0.9947 0.7500 0.2986


Copy entry 2 word for word.
! TlZnICl2 (PBE, optimized geometry); values from VASP
! - E: -2.580 eV/atom
! - Magnetization: 0.00 Bohr magnetons per cell
! - Energy relative to the elements, uncorrected: -0.8038 eV/atom
! - Symmetry: P4/mmm (123)
&SYSTEM
  ibrav = 0, nat = 5, ntyp = 4
/
ATOMIC_SPECIES
Tl 204.38 Tl.upf
Zn 65.41 Zn.upf
I 126.90 I.upf
Cl 35.45 Cl.upf
CELL_PARAMETERS angstrom
4.9783 0.0000 0.0000
0.0000 4.9783 0.0000
0.0000 0.0000 5.7456
ATOMIC_POSITIONS crystal
Tl 0.0000 0.0000 0.0000
Zn 0.5000 0.5000 0.5000
I 0.5000 0.5000 0.0000
Cl 0.0000 0.5000 0.5000
Cl 0.5000 0.0000 0.5000


Q: The highest magnetization belongs to which entry?
A: Ce2PrSi2Pt7